[1]
Material: SrSc2Mn
Method: DFT, GGA-PBE
State: relaxed

Calculated values
The calculation puts the total DFT energy (no corrections) at -5.3867 eV/atom. The calculation puts the density of states at the Fermi level at 5.1 states/eV/f.u. The value obtained for the density is 3685 kg/m3. The formation enthalpy at 0 K comes out at 47 kJ/mol of atoms.

Lattice parameters (Å, degrees): 4.857 4.857 8.881 90.00 90.00 90.00
Space group I-4m2 (No. 119)
Inequivalent atoms, fractional coordinates:
Sr1 0.000 0.000 0.000 x2
Sc1 0.000 0.000 0.500 x2
Sc2 0.000 0.500 0.250 x2
Mn1 0.000 0.500 0.750 x2

[2]
Material: AgBi3As
Method: DFT, GGA-PBE
State: relaxed

Calculated values
The calculation puts the total DFT energy (no corrections) at -3.1474 eV/atom. The calculation puts the density of states at the Fermi level at 5.0 states/eV/f.u. The value obtained for the density is 7800 kg/m3. The formation enthalpy at 0 K comes out at 66 kJ/mol of atoms.

Lattice parameters (Å, degrees): 5.565 5.565 5.565 90.00 90.00 90.00
Space group Pm-3m (No. 221)
Inequivalent atoms, fractional coordinates:
Ag1 0.000 0.000 0.000 x1
Bi1 0.000 0.500 0.500 x3
As1 0.500 0.500 0.500 x1

[3]
Material: ZrNbCu
Method: DFT, GGA-PBE
State: relaxed

Calculated values
The calculation puts the total DFT energy (no corrections) at -7.3279 eV/atom. The calculation puts the density of states at the Fermi level at 2.6 states/eV/f.u. The value obtained for the density is 7572 kg/m3. The formation enthalpy at 0 K comes out at 23 kJ/mol of atoms.

Lattice parameters (Å, degrees): 4.7602 4.7602 2.7680 90.00 90.00 120.00
Space group P3m1 (No. 156)
Inequivalent atoms, fractional coordinates:
Zr1 0.0000 0.0000 0.0000 x1
Nb1 0.3333 0.6667 0.5006 x1
Cu1 0.6667 0.3333 0.4985 x1

[4]
Material: Hf3Ge2H
Method: DFT, GGA-PBE
State: relaxed

Calculated values
The calculation puts the total DFT energy (no corrections) at -7.4198 eV/atom. The calculation puts the density of states at the Fermi level at 2.7 states/eV/f.u. The value obtained for the density is 11062 kg/m3.

Lattice parameters (Å, degrees): 9.949 7.295 5.641 90.00 90.00 90.00
Space group Cmcm (No. 63)
Inequivalent atoms, fractional coordinates:
Hf1 0.000 0.157 0.250 x4
Hf2 0.181 0.500 0.000 x8
Ge1 0.125 0.181 0.750 x8
H1 0.000 0.437 0.250 x4

[5]
Material: SrPm2As
Method: DFT, GGA-PBE
State: relaxed

Calculated values
The calculation puts the total DFT energy (no corrections) at -4.5848 eV/atom. The calculation puts the density of states at the Fermi level at 5.4 states/eV/f.u. The value obtained for the density is 5000 kg/m3. The formation enthalpy at 0 K comes out at -60 kJ/mol of atoms.

Lattice parameters (Å, degrees): 4.1079 4.1079 30.8504 90.00 90.00 120.00
Space group R-3m (No. 166, hexagonal axes)
Inequivalent atoms, fractional coordinates:
Sr1 0.0000 0.0000 0.0000 x3
Pm1 0.0000 0.0000 0.2208 x6
As1 0.0000 0.0000 0.5000 x3

[6]
Material: Ta3TiNi
Method: DFT, GGA-PBE
State: relaxed

Calculated values
The calculation puts the total DFT energy (no corrections) at -8.9992 eV/atom. The calculation puts the density of states at the Fermi level at 9.7 states/eV/f.u. The value obtained for the density is 11009 kg/m3. The formation enthalpy at 0 K comes out at 82 kJ/mol of atoms.

Lattice parameters (Å, degrees): 4.610 4.610 4.610 90.00 90.00 90.00
Space group Pm-3m (No. 221)
Inequivalent atoms, fractional coordinates:
Ta1 0.000 0.000 0.500 x3
Ti1 0.500 0.500 0.500 x1
Ni1 0.000 0.000 0.000 x1